Here is MgZrW2 after structural relaxation from the Alexandria database. Energies are from PBE.

## Properties
- DFT formation energy (eV/atom) = 0.296
- magnetic moment (μB/f.u.) = 0.0
- final energy (eV/atom) = -8.72
- space group = F-43m, No. 216

```
MgZrW2
1.0
0.0000 3.3022 3.3022
3.3022 0.0000 3.3022
3.3022 3.3022 0.0000
Mg Zr W
1 1 2
Direct
0.0000 0.0000 0.0000
0.7500 0.7500 0.7500
0.2500 0.2500 0.2500
0.5000 0.5000 0.5000
```